# 1
Material: NaSi3F
Method: DFT, PBE
State: relaxed

The energy is -2.563 eV/atom. The calculation puts the relative energy among the computed polymorphs at 1000.8 meV/atom. For the formation energy (no corrections), the calculation gives 128 kJ/mol of atoms.

It has space group Pm-3m (No. 221), with a = 4.9847 Å, b = 4.9847 Å, c = 4.9847 Å, α = 90.00°, β = 90.00° and γ = 90.00°. Symmetry generates all atoms from Na at (0.0000, 0.0000, 0.0000), Si at (0.0000, 0.0000, 0.5000) and F at (0.5000, 0.5000, 0.5000).

# 2
Material: LaZr3Sb2
Method: DFT, PBE
State: relaxed

The energy is -7.058 eV/atom. For the formation energy (no corrections), the calculation gives -57 kJ/mol of atoms.

It has space group C2/m (No. 12), with a = 18.6111 Å, b = 4.1936 Å, c = 9.2547 Å, α = 90.00°, β = 117.24° and γ = 90.00°. Symmetry generates all atoms from La at (0.1346, 0.0000, 0.0639), Zr at (0.0534, 0.0000, 0.4159), Zr at (0.0917, 0.5000, 0.6895), Zr at (0.1853, 0.5000, 0.4614), Sb at (0.0224, 0.5000, 0.1736) and Sb at (0.2159, 0.0000, 0.7307).

# 3
Material: Ho2Er2Pb2C
Method: DFT, PBE
State: relaxed

The energy is -5.558 eV/atom. The value obtained for the formation energy is -0.57 eV per atom.

It has space group I4/mmm (No. 139), with a = 4.7835 Å, b = 4.7835 Å, c = 16.0138 Å, α = 90.00°, β = 90.00° and γ = 90.00°. Symmetry generates all atoms from Ho at (0.0000, 0.0000, 0.1567), Er at (0.0000, 0.5000, 0.0000), Pb at (0.0000, 0.0000, 0.3577) and C at (0.0000, 0.0000, 0.0000).

# 4
Material: LiAl3Zn
Method: DFT, PBE
State: relaxed

The energy is -2.365 eV/atom. The value obtained for the formation energy is 0.52 eV per atom. The calculation puts the relative energy among the computed polymorphs at 543.6 meV/atom.

It has space group Pm-3m (No. 221), with a = 4.5405 Å, b = 4.5405 Å, c = 4.5405 Å, α = 90.00°, β = 90.00° and γ = 90.00°. Symmetry generates all atoms from Li at (0.0000, 0.0000, 0.0000), Al at (0.0000, 0.0000, 0.5000) and Zn at (0.5000, 0.5000, 0.5000).

# 5
Material: LiHI2
Method: DFT, PBE
State: relaxed

The energy is -1.911 eV/atom. The calculation puts the relative energy among the computed polymorphs at 740.1 meV/atom.

It has space group Fm-3m (No. 225), with a = 7.4161 Å, b = 7.4161 Å, c = 7.4161 Å, α = 90.00°, β = 90.00° and γ = 90.00°. Symmetry generates all atoms from Li at (0.0000, 0.0000, 0.0000), H at (0.0000, 0.0000, 0.5000) and I at (0.2500, 0.2500, 0.2500).

# 6
Material: Tl2GaMoN
Method: DFT, PBE
State: relaxed

The energy is -3.910 eV/atom. For the formation energy (no corrections), the calculation gives 142 kJ/mol of atoms.

It has space group P4/mmm (No. 123), with a = 5.4274 Å, b = 5.4274 Å, c = 4.9377 Å, α = 90.00°, β = 90.00° and γ = 90.00°. Symmetry generates all atoms from Tl at (0.0000, 0.5000, 0.0000), Ga at (0.0000, 0.0000, 0.5000), Mo at (0.0000, 0.0000, 0.0000) and N at (0.5000, 0.5000, 0.5000).

# 7
Material: BaSr4O5
Method: DFT, PBE
State: relaxed

The energy is -6.005 eV/atom. For the formation energy (no corrections), the calculation gives -257 kJ/mol of atoms.

It has space group C2/m (No. 12), with a = 12.4162 Å, b = 3.7363 Å, c = 9.1826 Å, α = 90.00°, β = 119.54° and γ = 90.00°. Symmetry generates all atoms from Ba at (0.0000, 0.0000, 0.0000), Sr at (0.1014, 0.5000, 0.4054), Sr at (0.1975, 0.0000, 0.7962), O at (0.0000, 0.0000, 0.5000), O at (0.1059, 0.5000, 0.8918) and O at (0.2041, 0.0000, 0.3096).

# 8
Material: GaTcP3
Method: DFT, PBE
State: relaxed

The energy is -5.423 eV/atom. The value obtained for the formation energy is 0.50 eV per atom. The calculation puts the relative energy among the computed polymorphs at 0.0 meV/atom.

It has space group Pm-3m (No. 221), with a = 4.6572 Å, b = 4.6572 Å, c = 4.6572 Å, α = 90.00°, β = 90.00° and γ = 90.00°. Symmetry generates all atoms from Ga at (0.0000, 0.0000, 0.0000), Tc at (0.5000, 0.5000, 0.5000) and P at (0.0000, 0.5000, 0.5000).

# 9
Material: La2InAu
Method: DFT, PBE
State: relaxed

The energy is -4.312 eV/atom. The value obtained for the formation energy is -0.34 eV per atom.

It has space group I-42d (No. 122), with a = 8.6384 Å, b = 8.6384 Å, c = 6.7082 Å, α = 90.00°, β = 90.00° and γ = 90.00°. Symmetry generates all atoms from La at (0.2109, 0.2500, 0.1250), In at (0.0000, 0.0000, 0.5000) and Au at (0.0000, 0.0000, 0.0000).

# 10
Material: TbDyHoZn
Method: DFT, PBE
State: relaxed

The energy is -3.932 eV/atom. The value obtained for the formation energy is -0.16 eV per atom. The calculation puts the relative energy among the computed polymorphs at 0.0 meV/atom.

It has space group P4mm (No. 99), with a = 3.5580 Å, b = 3.5580 Å, c = 8.5975 Å, α = 90.00°, β = 90.00° and γ = 90.00°. Symmetry generates all atoms from Tb at (0.0000, 0.0000, 0.0000), Dy at (0.5000, 0.5000, 0.7056), Ho at (0.5000, 0.5000, 0.2932) and Zn at (0.0000, 0.0000, 0.4976).

# 11
Material: FeRe2Ir
Method: DFT, PBE
State: relaxed

The energy is -10.574 eV/atom. The value obtained for the formation energy is -0.02 eV per atom. The calculation puts the relative energy among the computed polymorphs at 31.9 meV/atom.

It has space group Amm2 (No. 38), with a = 4.1455 Å, b = 2.6848 Å, c = 10.0254 Å, α = 90.00°, β = 90.00° and γ = 90.00°. Symmetry generates all atoms from Fe at (0.0000, 0.0000, 0.0000), Re at (0.0000, 0.0000, 0.7466), Re at (0.5000, 0.0000, 0.4013) and Ir at (0.5000, 0.0000, 0.1342).

# 12
Material: Pm2HoH4
Method: DFT, PBE
State: relaxed

The energy is -4.197 eV/atom.

It has space group I4/mmm (No. 139), with a = 4.0240 Å, b = 4.0240 Å, c = 13.2995 Å, α = 90.00°, β = 90.00° and γ = 90.00°. Symmetry generates all atoms from Pm at (0.0000, 0.0000, 0.1647), Ho at (0.0000, 0.0000, 0.5000), H at (0.0000, 0.0000, 0.3360) and H at (0.0000, 0.5000, 0.0000).

# 13
Material: LaSe2NCl
Method: DFT, PBE
State: relaxed

The energy is -4.116 eV/atom. The calculation puts the relative energy among the computed polymorphs at 0.0 meV/atom. For the formation energy (no corrections), the calculation gives 29 kJ/mol of atoms.

It has space group P4/mmm (No. 123), with a = 5.1463 Å, b = 5.1463 Å, c = 4.1308 Å, α = 90.00°, β = 90.00° and γ = 90.00°. Symmetry generates all atoms from La at (0.0000, 0.0000, 0.0000), Se at (0.0000, 0.5000, 0.5000), N at (0.5000, 0.5000, 0.0000) and Cl at (0.5000, 0.5000, 0.5000).

# 14
Material: Al2Sn2Pd7
Method: DFT, PBE
State: relaxed

The energy is -5.178 eV/atom. The value obtained for the formation energy is -0.47 eV per atom.

It has space group Cmmm (No. 65), with a = 7.8396 Å, b = 8.9130 Å, c = 5.7572 Å, α = 90.00°, β = 90.00° and γ = 90.00°. Symmetry generates all atoms from Al at (0.0000, 0.2187, 0.0000), Sn at (0.1881, 0.5000, 0.5000), Pd at (0.0000, 0.0000, 0.2615), Pd at (0.0000, 0.5000, 0.0000) and Pd at (0.2500, 0.2500, 0.2509).

# 15
Material: CaCuPt
Method: DFT, PBE
State: relaxed

The energy is -4.364 eV/atom. The value obtained for the formation energy is -0.32 eV per atom. The calculation puts the relative energy among the computed polymorphs at 351.7 meV/atom.

It has space group F-43m (No. 216), with a = 6.2659 Å, b = 6.2659 Å, c = 6.2659 Å, α = 90.00°, β = 90.00° and γ = 90.00°. Symmetry generates all atoms from Ca at (0.0000, 0.0000, 0.0000), Cu at (0.2500, 0.2500, 0.7500) and Pt at (0.0000, 0.0000, 0.5000).

# 16
Material: SrSe2BrF
Method: DFT, PBE
State: relaxed

The energy is -3.375 eV/atom. The calculation puts the relative energy among the computed polymorphs at 0.0 meV/atom. For the formation energy (no corrections), the calculation gives -90 kJ/mol of atoms.

It has space group P4/mmm (No. 123), with a = 4.4924 Å, b = 4.4924 Å, c = 6.0770 Å, α = 90.00°, β = 90.00° and γ = 90.00°. Symmetry generates all atoms from Sr at (0.0000, 0.0000, 0.0000), Se at (0.0000, 0.5000, 0.5000), Br at (0.5000, 0.5000, 0.0000) and F at (0.5000, 0.5000, 0.5000).

# 17
Material: Ta4GeC2
Method: DFT, PBE
State: relaxed

The energy is -10.548 eV/atom. The value obtained for the formation energy is -0.48 eV per atom.

It has space group Cmcm (No. 63), with a = 3.3308 Å, b = 10.5381 Å, c = 11.1188 Å, α = 90.00°, β = 90.00° and γ = 90.00°. Symmetry generates all atoms from Ta at (0.0000, 0.0000, 0.0000), Ta at (0.0000, 0.2640, 0.1084), Ta at (0.0000, 0.4204, 0.7500), Ge at (0.0000, 0.1068, 0.7500) and C at (0.0000, 0.3636, 0.5618).